(1)
Computed, not measured: Rb2VI after structural relaxation at the PBE level of DFT.

a = 6.4506 Å, b = 6.4506 Å, c = 6.4506 Å
α = 60.00°, β = 60.00°, γ = 60.00°
With the nearest neighbours (Å) after each atom.
Element x y z (fractional)
1 Rb 0.2500 0.2500 0.2500  4 I 3.95, 4 V 3.95
2 I 0.5000 0.5000 0.5000  8 Rb 3.95
3 V 0.0000 0.0000 0.0000  8 Rb 3.95
4 Rb 0.7500 0.7500 0.7500  4 I 3.95, 4 V 3.95

Results
The symmetry is Fm-3m, No. 225. Its energy above the lowest structure with this stoichiometry is 0.0 meV/atom. The calculation puts the total magnetization at 3.99 Bohr magnetons per cell. The uncorrected formation energy comes out at 332 meV per atom.



(2)
Computed, not measured: RbVI2 after structural relaxation at the PBE level of DFT.

a = 5.8004 Å, b = 5.8004 Å, c = 5.8004 Å
α = 60.00°, β = 60.00°, γ = 60.00°
With the nearest neighbours (Å) after each atom.
Element x y z (fractional)
1 Rb 0.5000 0.5000 0.5000  8 I 3.55
2 I 0.7500 0.7500 0.7500  4 Rb 3.55, 4 V 3.55
3 I 0.2500 0.2500 0.2500  4 Rb 3.55, 4 V 3.55
4 V 0.0000 0.0000 0.0000  8 I 3.55

Results
The symmetry is Fm-3m, No. 225. Its energy above the lowest structure with this stoichiometry is 351.1 meV/atom. The calculation puts the total magnetization at 4.00 Bohr magnetons per cell. The uncorrected formation energy comes out at -95 meV per atom.



(3)
Computed, not measured: Rb3VI after structural relaxation at the PBE level of DFT.

a = 6.9610 Å, b = 6.9610 Å, c = 6.9610 Å
α = 90.00°, β = 90.00°, γ = 90.00°
With the nearest neighbours (Å) after each atom.
Element x y z (fractional)
1 Rb 0.0000 0.0000 0.5000  2 I 3.48
2 Rb 0.5000 0.0000 0.0000  2 I 3.48
3 I 0.0000 0.0000 0.0000  6 Rb 3.48
4 V 0.5000 0.5000 0.5000  12 Rb 4.92
5 Rb 0.0000 0.5000 0.0000  2 I 3.48

Results
The symmetry is Pm-3m, No. 221. Its energy above the lowest structure with this stoichiometry is 0.0 meV/atom. The calculation puts the total magnetization at 4.79 Bohr magnetons per cell. The uncorrected formation energy comes out at 292 meV per atom.



(4)
Computed, not measured: RbVI2 after structural relaxation at the PBE level of DFT.

a = 8.7293 Å, b = 8.7293 Å, c = 7.4052 Å
α = 53.89°, β = 53.89°, γ = 90.00°
With the nearest neighbours (Å) after each atom.
Element x y z (fractional)
1 V 0.5000 0.5000 0.0000  4 I 2.79
2 I 0.3750 0.4632 0.7500  2 V 2.79
3 V 0.2500 0.7500 0.5000  4 I 2.79
4 I 0.8750 0.7868 0.7500  2 V 2.79
5 I 0.5368 0.1250 0.2500  2 V 2.79
6 Rb 0.7500 0.2500 0.5000  8 I 3.81-4.02, 2 V 4.09
7 Rb 0.0000 0.0000 0.0000  8 I 3.81-4.02, 2 V 4.09
8 I 0.2132 0.6250 0.2500  2 V 2.79

Results
The symmetry is I-42d, No. 122. Its energy above the lowest structure with this stoichiometry is 0.0 meV/atom. The calculation puts the total magnetization at 8.00 Bohr magnetons per cell. The uncorrected formation energy comes out at -446 meV per atom.



(5)
Computed, not measured: RbVI2 after structural relaxation at the PBE level of DFT.

a = 4.3214 Å, b = 4.3214 Å, c = 10.8933 Å
α = 78.56°, β = 78.56°, γ = 60.00°
With the nearest neighbours (Å) after each atom.
Element x y z (fractional)
1 I 0.1190 0.1190 0.6429  3 V 2.92
2 Rb 0.0000 0.0000 0.0000  2 I 3.79
3 I 0.8810 0.8810 0.3571  3 V 2.92
4 V 0.5000 0.5000 0.5000  6 I 2.92

Results
The symmetry is R-3m, No. 166. Its energy above the lowest structure with this stoichiometry is 135.4 meV/atom. The calculation puts the total magnetization at 3.33 Bohr magnetons per cell. The uncorrected formation energy comes out at -311 meV per atom.



(6)
Computed, not measured: Rb2VI5 after structural relaxation at the PBE level of DFT.

a = 7.6097 Å, b = 8.2923 Å, c = 8.4261 Å
α = 117.35°, β = 114.58°, γ = 94.18°
With the nearest neighbours (Å) after each atom.
Element x y z (fractional)
1 I 0.3119 0.9230 0.0000  1 V 2.64
2 Rb 0.7483 0.2712 0.5328  6 I 3.72-3.90
3 I 0.7600 0.6989 0.9997  1 V 2.62
4 I 0.1942 0.1895 0.4394  1 V 2.83
5 Rb 0.2155 0.7388 0.4676  6 I 3.71-3.90
6 V 0.9707 0.9634 0.0000  5 I 2.62-2.83
7 I 0.8214 0.2420 0.9999  1 V 2.65
8 I 0.7549 0.7502 0.5607  1 V 2.83

Results
The symmetry is Cm, No. 8. The calculation puts the total magnetization at 2.00 Bohr magnetons per cell. The uncorrected formation energy comes out at -945 meV per atom.